1.
Below is an optimized crystal structure of CaZrBiO6, with properties calculated at the GGA-PBE level.

Computed properties:
Fermi-level density of states, states/eV per atom: 0.6740
Space-group type: P4_2nm
Formation energy from raw total energies, eV per atom: -1.9843

Cell lengths 5.103, 5.103, 10.213 Å; angles 90.00, 90.00, 90.00 degrees
Fractional positions:
Ca  0.500  0.500  0.500
Ca  0.000  0.000  0.000
Zr  0.500  0.500  0.168
Zr  0.000  0.000  0.668
Bi  0.500  0.500  0.835
Bi  0.000  0.000  0.335
O  0.181  0.819  0.501
O  0.819  0.181  0.501
O  0.319  0.319  0.001
O  0.681  0.681  0.001
O  0.205  0.795  0.183
O  0.795  0.205  0.183
O  0.295  0.295  0.683
O  0.705  0.705  0.683
O  0.796  0.204  0.815
O  0.204  0.796  0.815
O  0.704  0.704  0.315
O  0.296  0.296  0.315

---

2.
Below is an optimized crystal structure of SiRhPb, with properties calculated at the GGA-PBE level.

Computed properties:
Fermi-level density of states, states/eV per atom: 0.5632
Space-group type: P3m1
Formation energy from raw total energies, eV per atom: -0.0876

Cell lengths 3.394, 3.394, 6.004 Å; angles 90.00, 90.00, 120.00 degrees
Fractional positions:
Pb  0.000  0.000  0.012
Rh  0.667  0.333  0.387
Si  0.333  0.667  0.600

---

What did the second record say?
Below is an optimized crystal structure of SiRhPb, with properties calculated at the GGA-PBE level.

Computed properties:
Fermi-level density of states, states/eV per atom: 0.5632
Space-group type: P3m1
Formation energy from raw total energies, eV per atom: -0.0876

Cell lengths 3.394, 3.394, 6.004 Å; angles 90.00, 90.00, 120.00 degrees
Fractional positions:
Pb  0.000  0.000  0.012
Rh  0.667  0.333  0.387
Si  0.333  0.667  0.600

---

Question: Which of these has the highest Fermi-level density of states?
Answer: CaZrBiO6